Below is a relaxed structure of La3Se2Br, with properties calculated at the GGA-PBE level. Values from VASP.

Calculated values
* E_form (uncorrected): -1760 meV per atom

Structure (Quantum ESPRESSO input):
```
&SYSTEM
  ibrav = 0, nat = 6, ntyp = 3
/
ATOMIC_SPECIES
La 138.91 La.upf
Se 78.96 Se.upf
Br 79.90 Br.upf
CELL_PARAMETERS angstrom
4.319 0.000 0.000
-2.159 3.740 0.000
0.000 0.000 10.561
ATOMIC_POSITIONS angstrom
La 0.000 0.000 0.000
La 0.000 2.493 7.131
La 2.159 1.247 3.430
Se 0.000 2.493 1.748
Se 2.159 1.247 8.814
Br 0.000 0.000 5.281
```

---

Below is a relaxed structure of La4SeBr, with properties calculated at the GGA-PBE level. Values from VASP.

Calculated values
* E_form (uncorrected): -178 meV per atom

Structure (Quantum ESPRESSO input):
```
&SYSTEM
  ibrav = 0, nat = 6, ntyp = 3
/
ATOMIC_SPECIES
La 138.91 La.upf
Se 78.96 Se.upf
Br 79.90 Br.upf
CELL_PARAMETERS angstrom
0.000 4.565 4.565
4.565 0.000 4.565
4.565 4.565 0.000
ATOMIC_POSITIONS angstrom
La 1.131 1.131 1.131
La 3.434 3.434 1.131
La 3.434 1.131 3.434
La 1.131 3.434 3.434
Se 6.848 6.848 6.848
Br 4.565 4.565 4.565
```

---

Below is a relaxed structure of La2SeBr2, with properties calculated at the GGA-PBE level. Values from VASP.

Calculated values
* E_form (uncorrected): -1622 meV per atom

Structure (Quantum ESPRESSO input):
```
&SYSTEM
  ibrav = 0, nat = 10, ntyp = 3
/
ATOMIC_SPECIES
La 138.91 La.upf
Se 78.96 Se.upf
Br 79.90 Br.upf
CELL_PARAMETERS angstrom
7.965 0.000 0.000
0.000 7.965 0.000
0.000 0.000 4.585
ATOMIC_POSITIONS angstrom
La 1.288 2.695 0.000
La 2.695 6.677 0.000
La 5.270 1.288 0.000
La 6.677 5.270 0.000
Se 0.000 0.000 0.000
Se 3.982 3.982 0.000
Br 1.144 5.127 2.292
Br 2.838 1.144 2.292
Br 5.127 6.821 2.292
Br 6.821 2.838 2.292
```

---

Below is a relaxed structure of La8SiSe4Br3, with properties calculated at the GGA-PBE level. Values from VASP.

Calculated values
* E_form (uncorrected): -1618 meV per atom

Structure (Quantum ESPRESSO input):
```
&SYSTEM
  ibrav = 0, nat = 16, ntyp = 4
/
ATOMIC_SPECIES
La 138.91 La.upf
Si 28.09 Si.upf
Se 78.96 Se.upf
Br 79.90 Br.upf
CELL_PARAMETERS angstrom
4.349 2.511 7.068
-4.349 2.511 7.068
0.000 -5.021 7.068
ATOMIC_POSITIONS angstrom
La -2.283 -1.318 12.319
La 0.000 0.000 5.151
La 0.000 -2.636 8.886
La -2.283 1.318 8.886
La 2.283 -1.318 12.319
La 0.000 2.636 12.319
La 0.000 0.000 16.054
La 2.283 1.318 8.886
Si 0.000 0.000 0.000
Se -4.349 0.000 10.602
Se -2.174 1.255 3.534
Se 2.174 1.255 3.534
Se 0.000 0.000 10.602
Br -2.174 -1.255 7.068
Br -2.174 1.255 14.137
Br 0.000 2.511 7.068
```

---

Below is a relaxed structure of La6SiSe2Br3, with properties calculated at the GGA-PBE level. Values from VASP.

Calculated values
* E_form (uncorrected): -1496 meV per atom

Structure (Quantum ESPRESSO input):
```
&SYSTEM
  ibrav = 0, nat = 12, ntyp = 4
/
ATOMIC_SPECIES
La 138.91 La.upf
Si 28.09 Si.upf
Se 78.96 Se.upf
Br 79.90 Br.upf
CELL_PARAMETERS angstrom
9.563 -2.190 0.000
9.563 2.190 0.000
-2.169 0.000 8.451
ATOMIC_POSITIONS angstrom
La -0.389 0.000 1.943
La 5.314 0.000 3.662
La 4.570 0.000 7.643
La 12.388 0.000 0.808
La 11.644 0.000 4.789
La 17.348 0.000 6.508
Si 9.563 0.000 0.000
Se 2.469 0.000 2.810
Se 14.489 0.000 5.641
Br 1.364 0.000 7.026
Br 8.479 0.000 4.226
Br 15.594 0.000 1.425
```

---

Below is a relaxed structure of La6Si2Se3Br, with properties calculated at the GGA-PBE level. Values from VASP.

Calculated values
* E_form (uncorrected): -1506 meV per atom

Structure (Quantum ESPRESSO input):
```
&SYSTEM
  ibrav = 0, nat = 12, ntyp = 4
/
ATOMIC_SPECIES
La 138.91 La.upf
Si 28.09 Si.upf
Se 78.96 Se.upf
Br 79.90 Br.upf
CELL_PARAMETERS angstrom
9.490 -2.173 0.000
9.490 2.173 0.000
-1.951 0.000 8.549
ATOMIC_POSITIONS angstrom
La -0.411 0.000 2.298
La 4.449 0.000 7.703
La 5.452 0.000 3.611
La 11.576 0.000 4.938
La 12.580 0.000 0.846
La 17.439 0.000 6.251
Si 2.491 0.000 2.818
Si 14.537 0.000 5.731
Se 1.452 0.000 7.146
Se 8.514 0.000 4.275
Se 15.576 0.000 1.403
Br 9.490 0.000 0.000
```

---

Below is a relaxed structure of La8Si3SeBr4, with properties calculated at the GGA-PBE level. Values from VASP.

Calculated values
* E_form (uncorrected): -1298 meV per atom

Structure (Quantum ESPRESSO input):
```
&SYSTEM
  ibrav = 0, nat = 16, ntyp = 4
/
ATOMIC_SPECIES
La 138.91 La.upf
Si 28.09 Si.upf
Se 78.96 Se.upf
Br 79.90 Br.upf
CELL_PARAMETERS angstrom
4.360 2.517 7.368
-4.360 2.517 7.368
0.000 -5.035 7.368
ATOMIC_POSITIONS angstrom
La -2.236 -1.291 12.640
La 0.000 0.000 5.272
La 0.000 -2.582 9.463
La -2.236 1.291 9.463
La 2.236 -1.291 12.640
La 0.000 2.582 12.640
La 0.000 0.000 16.831
La 2.236 1.291 9.463
Si -4.360 0.000 11.052
Si -2.180 1.259 3.684
Si 2.180 1.259 3.684
Se 0.000 0.000 11.052
Br 0.000 0.000 0.000
Br -2.180 -1.259 7.368
Br -2.180 1.259 14.735
Br 0.000 2.517 7.368
```

---

Below is a relaxed structure of La4SiSe2Br, with properties calculated at the GGA-PBE level. Values from VASP.

Calculated values
* E_form (uncorrected): -1563 meV per atom

Structure (Quantum ESPRESSO input):
```
&SYSTEM
  ibrav = 0, nat = 8, ntyp = 4
/
ATOMIC_SPECIES
La 138.91 La.upf
Si 28.09 Si.upf
Se 78.96 Se.upf
Br 79.90 Br.upf
CELL_PARAMETERS angstrom
7.494 0.000 0.000
0.000 4.338 0.000
-2.482 0.000 7.182
ATOMIC_POSITIONS angstrom
La 1.249 0.000 1.647
La 0.007 2.169 5.501
La 5.004 2.169 1.681
La 3.762 0.000 5.535
Si 3.747 0.000 0.000
Se -1.241 0.000 3.591
Se 0.000 2.169 0.000
Br 2.506 2.169 3.591
```

---

| no. | DOS at the Fermi energy (states/eV per atom) |
| --- | --- |
| 1 | 0.652 |
| 2 | 1.338 |
| 3 | 0.616 |
| 4 | 0.580 |
| 5 | 0.546 |
| 6 | 0.420 |
| 7 | 0.610 |
| 8 | 0.604 |